Record 1
Compound: Tb2Mg3Cd4
Source: Alexandria via LeMat-Bulk
Functional: GGA-PBE
Structure: optimized geometry

Cell lengths 6.1722, 8.2202, 9.1565 Å; angles 90.00, 109.70, 90.00 degrees
Closest atoms and distances in Å follow each position.
Element x y z (fractional)
Mg 0.5118 0.7500 0.5237  5 Cd 2.93-2.98, 2 Mg 3.09
Mg 0.0000 0.0000 0.0000  6 Cd 2.83-2.88
Mg 0.9882 0.2500 0.4763  5 Cd 2.93-2.98, 2 Mg 3.09
Mg 0.5000 0.5000 0.0000  6 Cd 2.83-2.88
Mg 0.4882 0.2500 0.4763  5 Cd 2.93-2.98, 2 Mg 3.09
Mg 0.0118 0.7500 0.5237  5 Cd 2.93-2.98, 2 Mg 3.09
Cd 0.1818 0.7500 0.8636  3 Mg 2.83-2.93, 2 Cd 3.09
Cd 0.3331 0.4778 0.6663  5 Mg 2.88-2.98, 2 Cd 3.21
Cd 0.8331 0.0222 0.6663  5 Mg 2.88-2.98, 2 Cd 3.21
Cd 0.8182 0.2500 0.1364  3 Mg 2.83-2.93, 2 Cd 3.09
Cd 0.6669 0.5222 0.3337  5 Mg 2.88-2.98, 2 Cd 3.21
Cd 0.3182 0.2500 0.1364  3 Mg 2.83-2.93, 2 Cd 3.09
Cd 0.6818 0.7500 0.8636  3 Mg 2.83-2.93, 2 Cd 3.09
Cd 0.1669 0.9778 0.3337  5 Mg 2.88-2.98, 2 Cd 3.21
Tb 0.9046 0.3961 0.8093  7 Cd 3.31-3.43, 5 Mg 3.47-3.65, 1 Tb 3.71
Tb 0.5954 0.8961 0.1907  7 Cd 3.31-3.43, 5 Mg 3.47-3.65, 1 Tb 3.71
Tb 0.4046 0.1039 0.8093  7 Cd 3.31-3.43, 5 Mg 3.47-3.65, 1 Tb 3.71
Tb 0.0954 0.6039 0.1907  7 Cd 3.31-3.43, 5 Mg 3.47-3.65, 1 Tb 3.71

Values from the calculation:
Total magnetic moment ... 0.00 μB/atom
Calculated volume ... 24.3 Å³ per atom
Total DFT energy (no corrections) ... -2.1530 eV/atom
ΔE to the lowest computed polymorph ... 0.049 eV/atom
Space group ... No. 64

---

Record 2
Compound: TbMg6Cd2
Source: Alexandria via LeMat-Bulk
Functional: GGA-PBE
Structure: optimized geometry

Cell lengths 4.4091, 4.4091, 11.0452 Å; angles 90.00, 90.00, 90.00 degrees
Closest atoms and distances in Å follow each position.
Element x y z (fractional)
Mg 0.0000 0.5000 0.7109  2 Cd 2.86, 8 Mg 3.12-3.21
Mg 0.0000 0.0000 0.5000  12 Mg 3.12-3.21
Mg 0.0000 0.5000 0.2891  2 Cd 2.86, 8 Mg 3.12-3.21
Mg 0.5000 0.0000 0.2891  2 Cd 2.86, 8 Mg 3.12-3.21
Mg 0.5000 0.5000 0.5000  12 Mg 3.12-3.21
Mg 0.5000 0.0000 0.7109  2 Cd 2.86, 8 Mg 3.12-3.21
Cd 0.5000 0.5000 0.1235  1 Cd 2.73, 4 Mg 2.86
Cd 0.5000 0.5000 0.8765  1 Cd 2.73, 4 Mg 2.86
Tb 0.0000 0.0000 0.0000  8 Cd 3.40

Values from the calculation:
Total magnetic moment ... 0.00 μB/atom
Calculated volume ... 23.9 Å³ per atom
Total DFT energy (no corrections) ... -1.8624 eV/atom
ΔE to the lowest computed polymorph ... 0.000 eV/atom
Space group ... No. 123

---

Record 3
Compound: Tb2Mg3Cd3
Source: Alexandria via LeMat-Bulk
Functional: GGA-PBE
Structure: optimized geometry

Cell lengths 5.1123, 5.1123, 8.8720 Å; angles 73.26, 73.26, 60.00 degrees
Closest atoms and distances in Å follow each position.
Element x y z (fractional)
Mg 0.7505 0.7505 0.7484  7 Cd 3.13-3.21, 1 Mg 3.17
Mg 0.2491 0.2491 0.2526  5 Cd 3.08-3.10, 3 Mg 3.13
Mg 0.6241 0.6241 0.1276  4 Mg 3.13-3.17, 4 Tb 3.16-3.18
Tb 0.0026 0.0026 0.9922  5 Cd 3.09-3.12, 3 Mg 3.16
Tb 0.4976 0.4976 0.5073  7 Cd 3.10-3.18, 1 Mg 3.18
Cd 0.8783 0.8783 0.3651  4 Mg 3.10-3.21, 4 Tb 3.12-3.18
Cd 0.1259 0.1259 0.6223  4 Mg 3.09-3.13, 4 Tb 3.09-3.10
Cd 0.3718 0.3718 0.8845  4 Mg 3.08-3.16, 4 Tb 3.09-3.16

Values from the calculation:
Total magnetic moment ... 0.00 μB/atom
Calculated volume ... 23.7 Å³ per atom
Total DFT energy (no corrections) ... -2.3639 eV/atom
Space group ... No. 160

---

Record 4
Compound: TbMg8Cd4
Source: Alexandria via LeMat-Bulk
Functional: GGA-PBE
Structure: optimized geometry

Cell lengths 5.9130, 7.6657, 7.6657 Å; angles 81.45, 67.31, 67.31 degrees
Closest atoms and distances in Å follow each position.
Element x y z (fractional)
Mg 0.6508 0.3492 0.3492  5 Mg 3.02-3.26, 4 Cd 3.07
Mg 0.3492 0.6508 0.6508  5 Mg 3.02-3.26, 4 Cd 3.07
Mg 0.0000 0.6508 0.3492  5 Mg 3.02-3.26, 4 Cd 3.07
Mg 0.2882 0.2118 0.2118  4 Cd 2.93, 6 Mg 3.00-3.26
Mg 0.7118 0.7882 0.7882  4 Cd 2.93, 6 Mg 3.00-3.26
Mg 0.5000 0.7882 0.2118  4 Cd 2.93, 6 Mg 3.00-3.26
Mg 0.0000 0.3492 0.6508  5 Mg 3.02-3.26, 4 Cd 3.07
Mg 0.5000 0.2118 0.7882  4 Cd 2.93, 6 Mg 3.00-3.26
Cd 0.0000 0.0000 0.5000  8 Mg 2.93-3.07, 2 Cd 2.96
Cd 0.0000 0.5000 0.0000  8 Mg 2.93-3.07, 2 Cd 2.96
Cd 0.5000 0.0000 0.5000  8 Mg 2.93-3.07, 2 Cd 2.96
Cd 0.5000 0.5000 0.0000  8 Mg 2.93-3.07, 2 Cd 2.96
Tb 0.0000 0.0000 0.0000  12 Mg 3.49-3.64, 8 Cd 3.83

Values from the calculation:
Total magnetic moment ... 0.00 μB/atom
Calculated volume ... 22.8 Å³ per atom
Total DFT energy (no corrections) ... -1.7381 eV/atom
Space group ... No. 139

---

Record 5
Compound: TbMg4Cd4
Source: Alexandria via LeMat-Bulk
Functional: GGA-PBE
Structure: optimized geometry

Cell lengths 6.5733, 6.5733, 9.9692 Å; angles 90.00, 90.00, 90.00 degrees
Closest atoms and distances in Å follow each position.
Element x y z (fractional)
Mg 0.0000 0.7203 0.4246  3 Mg 2.90-3.00, 5 Cd 2.92-2.94
Mg 0.7203 0.0000 0.5754  3 Mg 2.90-3.00, 5 Cd 2.92-2.94
Mg 0.0000 0.2797 0.4246  3 Mg 2.90-3.00, 5 Cd 2.92-2.94
Mg 0.5000 0.2203 0.0754  3 Mg 2.90-3.00, 5 Cd 2.92-2.94
Mg 0.5000 0.7797 0.0754  3 Mg 2.90-3.00, 5 Cd 2.92-2.94
Mg 0.2203 0.5000 0.9246  3 Mg 2.90-3.00, 5 Cd 2.92-2.94
Mg 0.2797 0.0000 0.5754  3 Mg 2.90-3.00, 5 Cd 2.92-2.94
Mg 0.7797 0.5000 0.9246  3 Mg 2.90-3.00, 5 Cd 2.92-2.94
Cd 0.0000 0.2684 0.7187  5 Mg 2.92-2.94, 1 Cd 3.05
Cd 0.2316 0.5000 0.2187  5 Mg 2.92-2.94, 1 Cd 3.05
Cd 0.5000 0.2316 0.7813  5 Mg 2.92-2.94, 1 Cd 3.05
Cd 0.7684 0.5000 0.2187  5 Mg 2.92-2.94, 1 Cd 3.05
Cd 0.2684 0.0000 0.2813  5 Mg 2.92-2.94, 1 Cd 3.05
Cd 0.5000 0.7684 0.7813  5 Mg 2.92-2.94, 1 Cd 3.05
Cd 0.0000 0.7316 0.7187  5 Mg 2.92-2.94, 1 Cd 3.05
Cd 0.7316 0.0000 0.2813  5 Mg 2.92-2.94, 1 Cd 3.05
Tb 0.5000 0.5000 0.5000  4 Cd 3.31, 8 Mg 3.67
Tb 0.0000 0.0000 0.0000  4 Cd 3.31, 8 Mg 3.67

Values from the calculation:
Total magnetic moment ... 0.00 μB/atom
Calculated volume ... 23.9 Å³ per atom
Total DFT energy (no corrections) ... -1.6930 eV/atom
Space group ... No. 137

---

Record 6
Compound: Tb6Mg5Cd
Source: Alexandria via LeMat-Bulk
Functional: GGA-PBE
Structure: optimized geometry

Cell lengths 5.3670, 7.5535, 8.4922 Å; angles 90.00, 71.54, 89.99 degrees
Closest atoms and distances in Å follow each position.
Element x y z (fractional)
Tb 0.1626 0.2505 0.6684  7 Mg 3.26-3.29, 1 Cd 3.27
Tb 0.8372 0.2505 0.3316  7 Mg 3.26-3.29, 1 Cd 3.27
Tb 0.4999 0.7510 0.0000  2 Cd 3.28, 6 Mg 3.29-3.31
Tb 0.8374 0.7495 0.3316  7 Mg 3.26-3.29, 1 Cd 3.27
Tb 0.5001 0.2490 0.0000  2 Cd 3.28, 6 Mg 3.29-3.31
Tb 0.1628 0.7495 0.6684  7 Mg 3.26-3.29, 1 Cd 3.27
Mg 0.6651 0.0000 0.6613  8 Tb 3.26-3.31
Mg 0.0000 0.5000 0.0000  8 Tb 3.27-3.29
Mg 0.3349 0.0000 0.3387  8 Tb 3.26-3.31
Mg 0.6634 0.5000 0.6650  8 Tb 3.27-3.30
Mg 0.3366 0.5000 0.3350  8 Tb 3.27-3.30
Cd 0.0000 0.0000 0.0000  8 Tb 3.27-3.28

Values from the calculation:
Total magnetic moment ... 0.00 μB/atom
Calculated volume ... 27.2 Å³ per atom
Total DFT energy (no corrections) ... -3.1808 eV/atom
Space group ... No. 10